Entry 1:
Density functional theory data (PBE) for a relaxed Th2Cu12Ni3Sn crystal.

CIF file:
```
data_Th2Cu12Ni3Sn
_chemical_formula_sum 'Th6 Cu36 Ni9 Sn3'
_cell_length_a 6.1886
_cell_length_b 6.1886
_cell_length_c 26.4355
_cell_angle_alpha 90.00
_cell_angle_beta 90.00
_cell_angle_gamma 120.00
_space_group_name_H-M_alt 'R -3 m'
_space_group_IT_number 166
_space_group_name_Hall '-R 3 2"'
loop_
_atom_site_label
_atom_site_type_symbol
_atom_site_fract_x
_atom_site_fract_y
_atom_site_fract_z
Th1 Th 0.0000 0.0000 0.1403
Cu1 Cu 0.0375 0.5187 0.9031
Cu2 Cu 0.0772 0.5386 0.6244
Ni1 Ni 0.0000 0.5000 0.0000
Sn1 Sn 0.0000 0.0000 0.5000
```

Summary:
VASP energy: -4.513 eV per atom
energy of formation from the pure elements: 228 meV/atom
density of states at the Fermi level: 35.52 states/eV/cell
magnetic moment: 0.00 μB per formula unit

---

Entry 2:
Density functional theory data (PBE) for a relaxed Ac2TbCeSb4 crystal.

CIF file:
```
data_Ac2TbCeSb4
_chemical_formula_sum 'Ac2 Tb1 Ce1 Sb4'
_cell_length_a 8.006
_cell_length_b 4.629
_cell_length_c 8.023
_cell_angle_alpha 90.00
_cell_angle_beta 109.43
_cell_angle_gamma 90.00
_space_group_name_H-M_alt 'P 1 2/m 1'
_space_group_IT_number 10
loop_
_space_group_symop_operation_xyz
'x,y,z'
'-x,-y,-z'
'-x,y,-z'
'x,-y,z'
loop_
_atom_site_label
_atom_site_type_symbol
_atom_site_fract_x
_atom_site_fract_y
_atom_site_fract_z
Ac1 Ac 0.000 0.000 0.000
Ac2 Ac 0.500 0.500 0.000
Tb1 Tb 0.000 0.500 0.500
Ce1 Ce 0.500 0.000 0.500
Sb1 Sb 0.241 0.000 0.729
Sb2 Sb 0.255 0.500 0.270
```

Summary:
VASP energy: -5.549 eV per atom
density of states at the Fermi level: 6.72 states/eV/cell
magnetic moment: 0.73 μB per formula unit

---

Entry 3:
Density functional theory data (PBE) for a relaxed Pm2Ga8Rh crystal.

CIF file:
```
data_Pm2Ga8Rh
_chemical_formula_sum 'Pm2 Ga8 Rh1'
_cell_length_a 4.359
_cell_length_b 4.359
_cell_length_c 11.351
_cell_angle_alpha 90.00
_cell_angle_beta 90.00
_cell_angle_gamma 90.00
_space_group_name_H-M_alt 'P 4/m m m'
_space_group_IT_number 123
_space_group_name_Hall '-P 4 2'
loop_
_atom_site_label
_atom_site_type_symbol
_atom_site_fract_x
_atom_site_fract_y
_atom_site_fract_z
Pm1 Pm 0.000 0.000 0.193
Ga1 Ga 0.000 0.500 0.000
Ga2 Ga 0.000 0.500 0.382
Ga3 Ga 0.500 0.500 0.194
Rh1 Rh 0.000 0.000 0.500
```

Summary:
VASP energy: -4.297 eV per atom
energy of formation from the pure elements: -563 meV/atom
density of states at the Fermi level: 5.68 states/eV/cell
magnetic moment: 0.00 μB per formula unit